Density functional theory data (PBE) for a relaxed structure of Pm3AlGe2Pt9.

Formation energy from the elements in eV/atom: -0.667
E_tot in eV/atom: -6.11
ρ in g/cm³: 11.93

abc: 6.4909 6.4909 9.0180
angles: 90.00 90.00 120.00
Closest atoms and distances in Å follow each position.
Element x y z (fractional)
1 Pm 0.0000 0.0000 0.0000  12 Pt 2.99-3.25
2 Pm 0.3333 0.6667 0.7220  9 Pt 3.13-3.26
3 Pm 0.6667 0.3333 0.2780  9 Pt 3.13-3.26
4 Al 0.0000 0.0000 0.5000  6 Pt 2.50
5 Ge 0.3333 0.6667 0.1890  6 Pt 2.35-2.53
6 Ge 0.6667 0.3333 0.8110  6 Pt 2.35-2.53
7 Pt 0.0000 0.5000 0.0000  2 Ge 2.53
8 Pt 0.1385 0.2769 0.2834  1 Ge 2.35, 1 Al 2.50
9 Pt 0.1385 0.8615 0.2834  1 Ge 2.35, 1 Al 2.50
10 Pt 0.2769 0.1385 0.7166  1 Ge 2.35, 1 Al 2.50
11 Pt 0.5000 0.0000 0.0000  2 Ge 2.53
12 Pt 0.5000 0.5000 0.0000  2 Ge 2.53
13 Pt 0.7231 0.8615 0.2834  1 Ge 2.35, 1 Al 2.50
14 Pt 0.8615 0.1385 0.7166  1 Ge 2.35, 1 Al 2.50
15 Pt 0.8615 0.7231 0.7166  1 Ge 2.35, 1 Al 2.50